[1]
MgSb3Pt12 | PBE | relaxed

## Properties
For the total energy, the calculation gives -5.703 eV/atom.

abc: 4.049 4.049 16.280
angles: 90.00 90.00 90.00
Element x y z (fractional)
Pt1 0.500 0.000 0.374
Sb1 0.000 0.000 0.762
Pt2 0.000 0.500 0.374
Pt3 0.000 0.500 0.626
Sb2 0.000 0.000 0.238
Pt4 0.500 0.000 0.626
Pt5 0.000 0.500 0.879
Pt6 0.500 0.000 0.121
Mg1 0.000 0.000 0.000
Pt7 0.500 0.000 0.879
Pt8 0.500 0.500 0.500
Sb3 0.000 0.000 0.500
Pt9 0.500 0.500 0.748
Pt10 0.500 0.500 0.000
Pt11 0.500 0.500 0.252
Pt12 0.000 0.500 0.121


[2]
Li3Ta | PBE | relaxed

## Properties
As for the polymorph energy (0 for the lowest one): 0.586 eV per atom. For the total energy, the calculation gives -3.604 eV/atom. For the formation enthalpy at 0 K, the calculation gives 0.79 eV per atom.

abc: 5.707 5.707 4.508
angles: 90.00 90.00 120.00
Element x y z (fractional)
Li1 0.165 0.330 0.750
Li2 0.835 0.165 0.250
Ta1 0.667 0.333 0.750
Li3 0.330 0.165 0.250
Li4 0.670 0.835 0.750
Li5 0.165 0.835 0.750
Li6 0.835 0.670 0.250
Ta2 0.333 0.667 0.250


[3]
KHfMnSe3 | PBE | relaxed

## Properties
For the total energy, the calculation gives -6.175 eV/atom.

abc: 3.922 8.859 9.681
angles: 111.65 90.00 90.00
Site moments in Bohr magnetons follow the coordinates.
Element x y z (fractional)
Se1 0.250 0.122 0.874  0.03
Se2 0.750 0.878 0.126  0.03
Se3 0.750 0.223 0.547  0.06
K1 0.750 0.782 0.749  0.00
K2 0.250 0.218 0.251  0.00
Hf1 0.750 0.323 0.846  -0.08
Mn1 0.250 0.082 0.609  3.59
Se4 0.750 0.462 0.150  0.02
Mn2 0.750 0.918 0.391  3.59
Hf2 0.250 0.677 0.154  -0.08
Se5 0.250 0.777 0.453  0.06
Se6 0.250 0.538 0.850  0.02


[4]
Sm2YEr3 | PBE | relaxed

## Properties
As for the polymorph energy (0 for the lowest one): 0.005 eV per atom. For the total energy, the calculation gives -4.809 eV/atom. For the formation enthalpy at 0 K, the calculation gives 0.12 eV per atom.

abc: 3.494 10.193 11.707
angles: 108.18 98.58 90.00
Element x y z (fractional)
Y1 0.312 0.963 0.624
Y2 0.688 0.037 0.376
Er1 0.695 0.715 0.389
Er2 0.930 0.237 0.861
Sm1 0.309 0.628 0.617
Sm2 0.691 0.372 0.383
Sm3 0.932 0.863 0.863
Er3 0.070 0.763 0.139
Er4 0.441 0.556 0.883
Sm4 0.068 0.137 0.137
Er5 0.559 0.444 0.117
Er6 0.305 0.285 0.611


[5]
ScSbAs2Os | PBE | relaxed

## Properties
For the total energy, the calculation gives -4.909 eV/atom.

abc: 4.932 5.459 4.932
angles: 90.00 90.00 90.00
Site moments in Bohr magnetons follow the coordinates.
Element x y z (fractional)
As1 0.000 0.000 0.500  -0.06
Sc1 0.000 0.000 0.000  0.06
As2 0.500 0.000 0.000  -0.03
Sb1 0.000 0.500 0.000  -0.05
Os1 0.500 0.500 0.500  2.58


[6]
LaY2Tm5 | PBE | relaxed

## Properties
For the total energy, the calculation gives -4.996 eV/atom. For the formation enthalpy at 0 K, the calculation gives 0.03 eV per atom.

abc: 7.092 7.092 7.067
angles: 120.11 120.11 90.01
Element x y z (fractional)
Tm1 0.222 0.222 0.944
Tm2 0.722 0.222 0.944
Tm3 0.722 0.722 0.944
Y1 0.722 0.222 0.444
Tm4 0.222 0.722 0.944
Tm5 0.722 0.723 0.445
La1 0.222 0.222 0.443
Y2 0.222 0.722 0.444


[7]
KMgBi3 | PBE | relaxed

## Properties
As for the polymorph energy (0 for the lowest one): 0.916 eV per atom. For the total energy, the calculation gives -1.872 eV/atom. For the formation enthalpy at 0 K, the calculation gives 0.99 eV per atom.

abc: 5.935 5.935 5.935
angles: 90.00 90.00 90.00
Element x y z (fractional)
Mg1 0.500 0.500 0.500
Bi1 0.500 0.000 0.000
Bi2 0.000 0.500 0.000
Bi3 0.000 0.000 0.500
K1 0.000 0.000 0.000


[8]
KSnSbAu2 | PBE | relaxed

## Properties
For the total energy, the calculation gives -3.427 eV/atom.

abc: 4.919 4.919 6.662
angles: 111.66 111.66 90.00
Element x y z (fractional)
Au1 0.749 0.249 0.499
Sb1 0.869 0.869 0.738
Au2 0.249 0.749 0.499
Sn1 0.132 0.132 0.264
K1 0.500 0.500 0.000


> Which formula does entry 3 have?

KHfMnSe3